Run w
YP2CCl (PBE-GGA, optimized geometry); density of states at the Fermi level = 1.1 states/eV per cell; spin magnetization = 0.000 μB/cell
1.0
-0.023 -3.702 1.397
1.773 -1.259 -3.306
4.810 0.826 2.265
C P Cl Y
1 2 1 1
Cartesian
0.000 0.000 0.000
-0.011 -1.851 0.699
0.886 -0.629 -1.653
2.405 0.413 1.133
3.280 -2.068 0.178

Run x
YP2CCl (PBE-GGA, optimized geometry); density of states at the Fermi level = 6.6 states/eV per cell; spin magnetization = 1.501 μB/cell
1.0
-4.747 -2.647 -0.394
0.552 -1.754 5.130
-2.461 4.161 1.688
P C Y Cl
2 1 1 1
Cartesian
-2.373 -1.324 -0.197
0.276 -0.877 2.565
-3.328 -0.120 3.211
0.000 0.000 0.000
-1.230 2.080 0.844

Least stable: run x

Run w
PbCCl2 (PBE-GGA, optimized geometry); density of states at the Fermi level = 1.3 states/eV per cell; spin magnetization = 2.000 μB/cell
1.0
2.628 0.000 7.534
-1.314 2.276 7.534
-1.314 -2.276 7.534
Cl Pb C
2 1 1
Cartesian
0.000 0.000 2.398
0.000 0.000 20.205
0.000 0.000 11.301
0.000 0.000 0.000

Run x
PbCCl2 (PBE-GGA, optimized geometry); density of states at the Fermi level = 4.4 states/eV per cell; spin magnetization = 0.000 μB/cell
1.0
-5.665 2.487 1.886
-1.949 -5.871 1.888
-2.077 -0.923 6.066
Cl C Pb
4 2 2
Cartesian
-3.859 -2.969 3.403
-2.890 -0.031 2.461
-7.734 -2.188 7.381
-4.899 -3.426 6.436
-3.917 -4.243 4.920
-3.807 -1.692 1.887
-5.775 -0.064 4.920
0.000 0.000 0.000

Run y
PbCCl2 (PBE-GGA, optimized geometry); density of states at the Fermi level = 2.0 states/eV per cell; spin magnetization = 0.000 μB/cell
1.0
7.285 4.937 0.974
8.536 2.208 -0.810
6.981 4.837 -2.504
Cl C Pb
2 1 1
Cartesian
20.152 10.590 -2.068
2.650 1.393 -0.272
11.401 5.991 -1.170
0.000 0.000 0.000

Run z
PbCCl2 (PBE-GGA, optimized geometry); density of states at the Fermi level = 5.2 states/eV per cell; spin magnetization = 2.000 μB/cell
1.0
-4.347 -2.476 0.496
-3.328 1.436 3.484
-4.310 2.184 -1.390
Cl Pb C
2 1 1
Cartesian
-8.988 0.858 1.943
-2.996 0.286 0.648
-5.992 0.572 1.295
0.000 0.000 0.000

Least stable: run y

Run w
PbCSCl2 (PBE-GGA, optimized geometry); density of states at the Fermi level = 1.2 states/eV per cell; spin magnetization = 0.000 μB/cell
1.0
4.732 0.000 0.000
0.000 4.732 0.000
0.000 0.000 4.254
Pb S Cl C
1 1 2 1
Cartesian
2.366 2.366 2.127
0.000 0.000 2.127
0.000 2.366 0.000
2.366 0.000 0.000
0.000 0.000 0.000

Run x
PbCSCl2 (PBE-GGA, optimized geometry); density of states at the Fermi level = 6.6 states/eV per cell; spin magnetization = 0.889 μB/cell
1.0
5.362 0.000 0.000
0.000 5.362 0.000
0.000 0.000 5.415
Pb Cl C S
1 2 1 1
Cartesian
0.000 0.000 0.000
2.681 0.000 0.000
0.000 2.681 0.000
2.681 2.681 2.708
0.000 0.000 2.708

Least stable: run x

Run w
Pd2CCl (PBE-GGA, optimized geometry); density of states at the Fermi level = 5.3 states/eV per cell; spin magnetization = 0.000 μB/cell
1.0
-3.882 -0.534 4.195
-4.190 -0.278 -3.913
-3.627 -4.528 -0.005
Pd Cl C
4 2 2
Cartesian
-6.154 -3.727 -0.278
-3.480 -1.448 1.724
-4.387 -1.424 -1.516
-9.377 -4.079 0.622
0.000 0.000 0.000
-5.773 -2.734 2.165
-5.927 -2.606 -1.889
-4.036 -0.406 0.141

Run x
Pd2CCl (PBE-GGA, optimized geometry); density of states at the Fermi level = 1.6 states/eV per cell; spin magnetization = 0.000 μB/cell
1.0
0.000 3.016 3.016
3.016 0.000 3.016
3.016 3.016 0.000
Cl Pd C
1 2 1
Cartesian
3.016 3.016 3.016
1.508 1.508 1.508
4.523 4.523 4.523
0.000 0.000 0.000

Least stable: run x

Run w
PdC2Cl (PBE-GGA, optimized geometry); density of states at the Fermi level = 2.5 states/eV per cell; spin magnetization = 0.000 μB/cell
1.0
-2.020 4.601 0.600
-1.842 -0.195 -4.710
-6.273 0.064 -0.268
Cl C Pd
2 4 2
Cartesian
-5.023 1.037 -3.516
-1.931 2.203 -2.055
-5.981 1.719 -1.301
-8.257 3.886 -4.239
-3.251 3.299 -0.224
-2.783 0.038 -2.992
0.000 0.000 0.000
-5.112 3.435 -0.861

Run x
PdC2Cl (PBE-GGA, optimized geometry); density of states at the Fermi level = 2.0 states/eV per cell; spin magnetization = 0.000 μB/cell
1.0
0.000 2.877 2.877
2.877 0.000 2.877
2.877 2.877 0.000
Pd C Cl
1 2 1
Cartesian
2.877 2.877 2.877
4.316 4.316 4.316
1.439 1.439 1.439
0.000 0.000 0.000

Least stable: run x

Run w
PdCCl3 (PBE-GGA, optimized geometry); density of states at the Fermi level = 7.3 states/eV per cell; spin magnetization = 1.000 μB/cell
1.0
-4.308 -0.665 -0.895
0.120 -3.829 2.265
-1.109 2.168 3.724
Cl C Pd
3 1 1
Cartesian
-0.554 1.084 1.862
-2.154 -0.333 -0.448
0.060 -1.914 1.132
0.000 0.000 0.000
-2.648 -1.163 2.547

Run x
PdCCl3 (PBE-GGA, optimized geometry); density of states at the Fermi level = 4.3 states/eV per cell; spin magnetization = 1.257 μB/cell
1.0
4.827 0.000 0.000
0.000 4.827 0.000
0.000 0.000 4.827
C Cl Pd
1 3 1
Cartesian
2.414 2.414 2.414
0.000 2.414 0.000
2.414 0.000 0.000
0.000 0.000 2.414
0.000 0.000 0.000

Least stable: run x

Run w
PdCS2Cl (PBE-GGA, optimized geometry); density of states at the Fermi level = 4.8 states/eV per cell; spin magnetization = 0.000 μB/cell
1.0
3.769 0.000 0.000
0.000 3.769 0.000
0.000 0.000 6.878
Cl S C Pd
1 2 1 1
Cartesian
0.000 0.000 3.439
0.000 1.884 0.000
1.884 0.000 0.000
0.000 0.000 0.000
1.884 1.884 3.439

Run x
PdCS2Cl (PBE-GGA, optimized geometry); density of states at the Fermi level = 4.7 states/eV per cell; spin magnetization = 0.395 μB/cell
1.0
-3.425 1.552 2.845
2.372 -1.620 3.739
2.255 4.236 0.404
C S Pd Cl
1 2 1 1
Cartesian
0.602 2.084 3.494
-1.712 0.776 1.423
1.186 -0.810 1.870
0.000 0.000 0.000
1.128 2.118 0.202

Least stable: run x

Run w
PtC3Cl (PBE-GGA, optimized geometry); density of states at the Fermi level = 3.1 states/eV per cell; spin magnetization = 3.000 μB/cell
1.0
-2.602 2.690 1.633
-1.332 -2.861 2.590
2.850 1.118 2.701
Pt C Cl
1 3 1
Cartesian
0.000 0.000 0.000
1.425 0.559 1.351
-0.666 -1.431 1.295
-1.301 1.345 0.816
-0.542 0.473 3.462

Run x
PtC3Cl (PBE-GGA, optimized geometry); density of states at the Fermi level = 1.1 states/eV per cell; spin magnetization = 0.000 μB/cell
1.0
3.665 0.000 0.000
0.000 3.665 0.000
0.000 0.000 3.665
C Pt Cl
3 1 1
Cartesian
1.833 0.000 0.000
0.000 1.833 0.000
0.000 0.000 1.833
1.833 1.833 1.833
0.000 0.000 0.000

Least stable: run x